(1)
The following is a DFT calculation (PBE) of LaSi after structural relaxation.

* uncorrected formation energy: -0.50 eV per atom

Lattice parameters (Å, degrees): 3.9209 4.2991 6.7421 108.44 90.60 90.02
With the nearest neighbours (Å) after each atom.
Fractional coordinates of all 4 atoms:
La  0.3545  0.6672  0.8866  4 Si 2.98-3.25, 1 La 3.08
La  0.4057  0.4282  0.4068  8 Si 3.04-3.30, 1 La 3.08
Si  0.8914  0.8518  0.2521  1 Si 2.43
Si  0.8882  0.0399  0.6318  1 Si 2.43



(2)
The following is a DFT calculation (PBE) of Sc2PbC after structural relaxation.

* ΔE_f: -0.115 eV/atom

Lattice parameters (Å, degrees): 6.8350 6.8350 6.0039 55.30 55.30 90.00
With the nearest neighbours (Å) after each atom.
Fractional coordinates of all 8 atoms:
Sc  0.2271  0.6250  0.2500  2 C 2.18
Sc  0.3750  0.4771  0.7500  2 C 2.18
Sc  0.8750  0.7729  0.7500  2 C 2.18
Sc  0.5229  0.1250  0.2500  2 C 2.18
Pb  0.7500  0.2500  0.5000  8 Sc 3.08-3.33
Pb  0.0000  0.0000  0.0000  8 Sc 3.08-3.33
C  0.5000  0.5000  0.0000  4 Sc 2.18
C  0.2500  0.7500  0.5000  4 Sc 2.18



(3)
The following is a DFT calculation (PBE) of Nd6ZnCd after structural relaxation.

* ΔE_f: -0.140 eV/atom

Lattice parameters (Å, degrees): 9.7220 9.7220 9.7220 148.54 148.54 45.08
With the nearest neighbours (Å) after each atom.
Fractional coordinates of all 8 atoms:
Nd  0.3927  0.8927  0.5000  2 Zn 3.26, 2 Cd 3.26
Nd  0.7498  0.7498  0.0000  12 Nd 3.67-3.73
Nd  0.6073  0.1073  0.5000  2 Zn 3.26, 2 Cd 3.26
Nd  0.8927  0.3927  0.5000  2 Cd 3.26, 2 Zn 3.26
Nd  0.2502  0.2502  0.0000  12 Nd 3.67-3.73
Nd  0.1073  0.6073  0.5000  2 Cd 3.26, 2 Zn 3.26
Zn  0.0000  0.0000  0.0000  8 Nd 3.26
Cd  0.5000  0.5000  0.0000  8 Nd 3.26



(4)
The following is a DFT calculation (PBE) of Ac2Zn4RhAu3 after structural relaxation.

* ΔE_f: -0.549 eV/atom

Lattice parameters (Å, degrees): 4.5399 4.5399 10.4840 90.00 90.00 90.00
With the nearest neighbours (Å) after each atom.
Fractional coordinates of all 10 atoms:
Zn  0.5000  0.0000  0.6173  3 Au 2.58-2.61, 2 Rh 2.58
Zn  0.0000  0.0000  0.0000  4 Au 2.67
Zn  0.0000  0.5000  0.3827  2 Rh 2.58, 3 Au 2.58-2.61
Zn  0.5000  0.5000  0.0000  4 Au 2.67
Au  0.5000  0.0000  0.8664  5 Zn 2.61-2.67
Au  0.0000  0.5000  0.1336  5 Zn 2.61-2.67
Au  0.0000  0.0000  0.5000  4 Zn 2.58
Rh  0.5000  0.5000  0.5000  4 Zn 2.58
Ac  0.0000  0.5000  0.7357  2 Rh 3.36, 6 Au 3.36-3.49, 9 Zn 3.44-3.70
Ac  0.5000  0.0000  0.2643  6 Au 3.36-3.49, 2 Rh 3.36, 9 Zn 3.44-3.70



(5)
The following is a DFT calculation (PBE) of Ac2GaAu7 after structural relaxation.

* ΔE_f: -0.553 eV/atom

Lattice parameters (Å, degrees): 4.2713 4.2713 12.8883 90.00 90.00 90.00
With the nearest neighbours (Å) after each atom.
Fractional coordinates of all 10 atoms:
Au  0.5000  0.0000  0.1401  3 Au 2.76-2.80, 2 Ga 2.80
Au  0.0000  0.0000  0.5000  8 Au 2.85-3.02
Au  0.5000  0.5000  0.5000  8 Au 2.85-3.02
Au  0.0000  0.5000  0.6459  5 Au 2.76-2.85
Au  0.0000  0.5000  0.8599  3 Au 2.76-2.80, 2 Ga 2.80
Au  0.5000  0.0000  0.3541  5 Au 2.76-2.85
Au  0.0000  0.0000  0.0000  4 Au 2.80, 4 Ga 3.02
Ac  0.0000  0.5000  0.2515  8 Au 3.30-3.34
Ac  0.5000  0.0000  0.7485  8 Au 3.30-3.34
Ga  0.5000  0.5000  0.0000  8 Au 2.80-3.02



(6)
The following is a DFT calculation (PBE) of KHfBr2 after structural relaxation.

* uncorrected formation energy: -0.63 eV per atom
* excess energy over the best structure of this formula in the dataset: 0.00 kcal/mol of atoms

Lattice parameters (Å, degrees): 10.0510 10.0510 10.0510 21.54 21.54 21.54
With the nearest neighbours (Å) after each atom.
Fractional coordinates of all 4 atoms:
K  0.5000  0.5000  0.5000  6 Br 3.15
Br  0.0893  0.0893  0.0893  1 Hf 2.63
Br  0.9107  0.9107  0.9107  1 Hf 2.63
Hf  0.0000  0.0000  0.0000  2 Br 2.63



(7)
The following is a DFT calculation (PBE) of Ca2TcTe after structural relaxation.

* uncorrected formation energy: -0.17 eV per atom

Lattice parameters (Å, degrees): 4.2708 4.4426 6.1170 68.73 90.00 90.00
With the nearest neighbours (Å) after each atom.
Fractional coordinates of all 4 atoms:
Te  0.5000  0.5590  0.7569  2 Tc 2.64
Ca  0.0000  0.9784  0.9182  4 Te 3.22, 3 Tc 3.23-3.33
Ca  0.5000  0.2671  0.3407  4 Tc 3.19, 3 Te 3.25-3.33
Tc  0.0000  0.6955  0.4841  2 Te 2.64



(8)
The following is a DFT calculation (PBE) of KTl2CuBi after structural relaxation.

* excess energy over the best structure of this formula in the dataset: 6.00 kcal/mol of atoms
* ΔE_f: 0.287 eV/atom

Lattice parameters (Å, degrees): 6.4044 4.9689 6.4044 90.00 90.00 90.00
With the nearest neighbours (Å) after each atom.
Fractional coordinates of all 5 atoms:
Cu  0.0000  0.5000  0.0000  2 Bi 2.48
Tl  0.5000  0.0000  0.0000  2 Bi 3.20
Tl  0.0000  0.0000  0.5000  2 Bi 3.20
Bi  0.0000  0.0000  0.0000  2 Cu 2.48
K  0.5000  0.5000  0.5000  8 Tl 4.05, 4 Cu 4.53



What did the third record say?
The following is a DFT calculation (PBE) of Nd6ZnCd after structural relaxation.

* ΔE_f: -0.140 eV/atom

Lattice parameters (Å, degrees): 9.7220 9.7220 9.7220 148.54 148.54 45.08
With the nearest neighbours (Å) after each atom.
Fractional coordinates of all 8 atoms:
Nd  0.3927  0.8927  0.5000  2 Zn 3.26, 2 Cd 3.26
Nd  0.7498  0.7498  0.0000  12 Nd 3.67-3.73
Nd  0.6073  0.1073  0.5000  2 Zn 3.26, 2 Cd 3.26
Nd  0.8927  0.3927  0.5000  2 Cd 3.26, 2 Zn 3.26
Nd  0.2502  0.2502  0.0000  12 Nd 3.67-3.73
Nd  0.1073  0.6073  0.5000  2 Cd 3.26, 2 Zn 3.26
Zn  0.0000  0.0000  0.0000  8 Nd 3.26
Cd  0.5000  0.5000  0.0000  8 Nd 3.26